DFT (PBE-GGA) results for CaZn4Cu9 after structural relaxation.

Calculated total energy   -3.249 eV per atom

Lattice parameters (Å, degrees): 8.3263 8.3263 8.3263 120.10 120.10 89.82
Closest atoms and distances in Å follow each position.
Element x y z (fractional)
Ca (0.2500, 0.2500, 0.0000)  8 Zn 3.40, 16 Cu 3.44-3.45
Ca (0.7500, 0.7500, 0.0000)  8 Zn 3.40, 16 Cu 3.44-3.45
Zn (0.0601, 0.5601, 0.8637)  9 Cu 2.48-2.67
Zn (0.1964, 0.0601, 0.5000)  9 Cu 2.48-2.67
Zn (0.3036, 0.8036, 0.8637)  9 Cu 2.48-2.67
Zn (0.4399, 0.3036, 0.5000)  9 Cu 2.48-2.67
Zn (0.5601, 0.6964, 0.5000)  9 Cu 2.48-2.67
Zn (0.6964, 0.1964, 0.1363)  9 Cu 2.48-2.67
Zn (0.8036, 0.9399, 0.5000)  9 Cu 2.48-2.67
Zn (0.9399, 0.4399, 0.1363)  9 Cu 2.48-2.67
Cu (0.0000, 0.5000, 0.5000)  8 Cu 2.49-2.52, 4 Zn 2.58
Cu (0.0624, 0.2029, 0.2653)  6 Cu 2.50-2.76, 4 Zn 2.57-2.67
Cu (0.0632, 0.7922, 0.5000)  4 Zn 2.48-2.61, 6 Cu 2.49-2.69
Cu (0.2029, 0.9376, 0.1405)  6 Cu 2.50-2.76, 4 Zn 2.57-2.67
Cu (0.2078, 0.7078, 0.2711)  4 Zn 2.48-2.61, 6 Cu 2.49-2.69
Cu (0.2922, 0.5632, 0.5000)  4 Zn 2.48-2.61, 6 Cu 2.49-2.69
Cu (0.2971, 0.4376, 0.7347)  6 Cu 2.50-2.76, 4 Zn 2.57-2.67
Cu (0.4368, 0.9368, 0.7289)  4 Zn 2.48-2.61, 6 Cu 2.49-2.69
Cu (0.4376, 0.7029, 0.1405)  6 Cu 2.50-2.76, 4 Zn 2.57-2.67
Cu (0.5000, 0.0000, 0.5000)  8 Cu 2.49-2.52, 4 Zn 2.58
Cu (0.5624, 0.2971, 0.8595)  6 Cu 2.50-2.76, 4 Zn 2.57-2.67
Cu (0.5632, 0.0632, 0.2711)  4 Zn 2.48-2.61, 6 Cu 2.49-2.69
Cu (0.7029, 0.5624, 0.2653)  6 Cu 2.50-2.76, 4 Zn 2.57-2.67
Cu (0.7078, 0.4368, 0.5000)  4 Zn 2.48-2.61, 6 Cu 2.49-2.69
Cu (0.7922, 0.2922, 0.7289)  4 Zn 2.48-2.61, 6 Cu 2.49-2.69
Cu (0.7971, 0.0624, 0.8595)  6 Cu 2.50-2.76, 4 Zn 2.57-2.67
Cu (0.9368, 0.2078, 0.5000)  4 Zn 2.48-2.61, 6 Cu 2.49-2.69
Cu (0.9376, 0.7971, 0.7347)  6 Cu 2.50-2.76, 4 Zn 2.57-2.67

=====

DFT (PBE-GGA) results for Ag8As after structural relaxation.

Calculated total energy   -2.988 eV per atom

Lattice parameters (Å, degrees): 6.5849 6.5849 6.5849 95.73 95.73 143.17
Closest atoms and distances in Å follow each position.
Element x y z (fractional)
Ag (0.0000, 0.3339, 0.3339)  11 Ag 2.94-2.95, 1 As 2.95
Ag (0.0000, 0.6661, 0.6661)  11 Ag 2.94-2.95, 1 As 2.95
Ag (0.3326, 0.3326, 0.6652)  10 Ag 2.93-2.96, 2 As 2.95
Ag (0.3326, 0.6674, 0.0000)  10 Ag 2.93-2.96, 2 As 2.95
Ag (0.3339, 0.0000, 0.3339)  11 Ag 2.94-2.95, 1 As 2.95
Ag (0.6661, 0.0000, 0.6661)  11 Ag 2.94-2.95, 1 As 2.95
Ag (0.6674, 0.3326, 0.0000)  10 Ag 2.93-2.96, 2 As 2.95
Ag (0.6674, 0.6674, 0.3348)  10 Ag 2.93-2.96, 2 As 2.95
As (0.0000, 0.0000, 0.0000)  12 Ag 2.95

=====

DFT (PBE-GGA) results for Ac3In3Rh2 after structural relaxation.

Energy relative to the lowest polymorph listed for this composition   0.00 eV per formula unit

Lattice parameters (Å, degrees): 6.1732 6.1732 17.0482 90.00 90.00 136.51
Closest atoms and distances in Å follow each position.
Element x y z (fractional)
Ac (0.0545, 0.9455, 0.6089)  3 Rh 3.18-3.43, 5 In 3.42-3.53
Ac (0.0545, 0.9455, 0.8911)  3 Rh 3.18-3.43, 5 In 3.42-3.53
Ac (0.3344, 0.6656, 0.7500)  4 Rh 3.28, 3 In 3.29-3.36
Ac (0.6656, 0.3344, 0.2500)  4 Rh 3.28, 3 In 3.29-3.36
Ac (0.9455, 0.0545, 0.1089)  3 Rh 3.18-3.43, 5 In 3.42-3.53
Ac (0.9455, 0.0545, 0.3911)  3 Rh 3.18-3.43, 5 In 3.42-3.53
In (0.3399, 0.6601, 0.5323)  3 Rh 2.80-2.88
In (0.3399, 0.6601, 0.9677)  3 Rh 2.80-2.88
In (0.3723, 0.6277, 0.2500)  2 Rh 2.84
In (0.6277, 0.3723, 0.7500)  2 Rh 2.84
In (0.6601, 0.3399, 0.0323)  3 Rh 2.80-2.88
In (0.6601, 0.3399, 0.4677)  3 Rh 2.80-2.88
Rh (0.2225, 0.7775, 0.1172)  4 In 2.80-2.88
Rh (0.2225, 0.7775, 0.3828)  4 In 2.80-2.88
Rh (0.7775, 0.2225, 0.6172)  4 In 2.80-2.88
Rh (0.7775, 0.2225, 0.8828)  4 In 2.80-2.88

=====

DFT (PBE-GGA) results for Ho2CdSn3 after structural relaxation.

Calculated total energy   -3.911 eV per atom

Lattice parameters (Å, degrees): 7.9891 7.9891 5.8773 90.00 90.00 66.90
Closest atoms and distances in Å follow each position.
Element x y z (fractional)
Ho (0.0524, 0.6625, 0.7500)  5 Sn 3.13-3.14
Ho (0.3375, 0.9476, 0.7500)  5 Sn 3.13-3.14
Ho (0.6625, 0.0524, 0.2500)  5 Sn 3.13-3.14
Ho (0.9476, 0.3375, 0.2500)  5 Sn 3.13-3.14
Cd (0.4132, 0.5868, 0.2500)  5 Sn 2.88-3.07
Cd (0.5868, 0.4132, 0.7500)  5 Sn 2.88-3.07
Sn (0.0867, 0.9133, 0.2500)  1 Cd 2.88, 2 Ho 3.13
Sn (0.3060, 0.3060, 0.0000)  2 Sn 2.94, 2 Cd 3.07, 4 Ho 3.14
Sn (0.3060, 0.3060, 0.5000)  2 Sn 2.94, 2 Cd 3.07, 4 Ho 3.14
Sn (0.6940, 0.6940, 0.0000)  2 Sn 2.94, 2 Cd 3.07, 4 Ho 3.14
Sn (0.6940, 0.6940, 0.5000)  2 Sn 2.94, 2 Cd 3.07, 4 Ho 3.14
Sn (0.9133, 0.0867, 0.7500)  1 Cd 2.88, 2 Ho 3.13

=====

DFT (PBE-GGA) results for Be2SbPb after structural relaxation.

Energy relative to the lowest polymorph listed for this composition   1.87 eV per formula unit
Formation energy from raw total energies   0.767 eV per atom

Lattice parameters (Å, degrees): 4.6978 4.6978 3.5333 90.00 90.00 90.00
Closest atoms and distances in Å follow each position.
Element x y z (fractional)
Be (0.0000, 0.5000, 0.0000)  4 Pb 2.94, 4 Sb 2.94
Be (0.5000, 0.0000, 0.0000)  4 Pb 2.94, 4 Sb 2.94
Sb (0.0000, 0.0000, 0.5000)  8 Be 2.94
Pb (0.5000, 0.5000, 0.5000)  8 Be 2.94

=====

DFT (PBE-GGA) results for KC3 after structural relaxation.

Energy relative to the lowest polymorph listed for this composition   13.65 eV per formula unit

Lattice parameters (Å, degrees): 3.7325 3.7325 3.7325 90.00 90.00 90.00
Closest atoms and distances in Å follow each position.
Element x y z (fractional)
K (0.0000, 0.0000, 0.0000)  12 C 2.64
C (0.0000, 0.5000, 0.5000)  4 K 2.64, 8 C 2.64
C (0.5000, 0.0000, 0.5000)  4 K 2.64, 8 C 2.64
C (0.5000, 0.5000, 0.0000)  4 K 2.64, 8 C 2.64

=====

DFT (PBE-GGA) results for MgMo2Ru after structural relaxation.

Calculated total energy   -7.475 eV per atom

Lattice parameters (Å, degrees): 7.3547 7.3547 5.2365 90.00 90.00 90.00
Closest atoms and distances in Å follow each position.
Element x y z (fractional)
Mg (0.0000, 0.0000, 0.0000)  2 Ru 2.62, 4 Mo 2.92
Mg (0.0000, 0.5000, 0.2500)  2 Ru 2.62, 4 Mo 2.92
Mg (0.5000, 0.0000, 0.7500)  2 Ru 2.62, 4 Mo 2.92
Mg (0.5000, 0.5000, 0.5000)  2 Ru 2.62, 4 Mo 2.92
Mo (0.2055, 0.7500, 0.6250)  2 Ru 2.47, 2 Mo 2.70
Mo (0.2500, 0.2055, 0.3750)  2 Ru 2.47, 2 Mo 2.70
Mo (0.2500, 0.2945, 0.8750)  2 Ru 2.47, 2 Mo 2.70
Mo (0.2945, 0.7500, 0.1250)  2 Ru 2.47, 2 Mo 2.70
Mo (0.7055, 0.2500, 0.1250)  2 Ru 2.47, 2 Mo 2.70
Mo (0.7500, 0.7055, 0.8750)  2 Ru 2.47, 2 Mo 2.70
Mo (0.7500, 0.7945, 0.3750)  2 Ru 2.47, 2 Mo 2.70
Mo (0.7945, 0.2500, 0.6250)  2 Ru 2.47, 2 Mo 2.70
Ru (0.0000, 0.0000, 0.5000)  4 Mo 2.47, 2 Mg 2.62
Ru (0.0000, 0.5000, 0.7500)  4 Mo 2.47, 2 Mg 2.62
Ru (0.5000, 0.0000, 0.2500)  4 Mo 2.47, 2 Mg 2.62
Ru (0.5000, 0.5000, 0.0000)  4 Mo 2.47, 2 Mg 2.62

=====

DFT (PBE-GGA) results for Ta2ZnAs2 after structural relaxation.

Energy relative to the lowest polymorph listed for this composition   0.00 eV per formula unit

Lattice parameters (Å, degrees): 7.1894 7.1894 3.3830 90.00 90.00 90.00
Closest atoms and distances in Å follow each position.
Element x y z (fractional)
Ta (0.1448, 0.3552, 0.0000)  6 As 2.70, 2 Zn 2.76, 1 Ta 2.94
Ta (0.3552, 0.8552, 0.0000)  6 As 2.70, 2 Zn 2.76, 1 Ta 2.94
Ta (0.6448, 0.1448, 0.0000)  6 As 2.70, 2 Zn 2.76, 1 Ta 2.94
Ta (0.8552, 0.6448, 0.0000)  6 As 2.70, 2 Zn 2.76, 1 Ta 2.94
Zn (0.0000, 0.0000, 0.0000)  4 Ta 2.76
Zn (0.5000, 0.5000, 0.0000)  4 Ta 2.76
As (0.1484, 0.6484, 0.5000)  6 Ta 2.70, 1 As 3.02
As (0.3516, 0.1484, 0.5000)  6 Ta 2.70, 1 As 3.02
As (0.6484, 0.8516, 0.5000)  6 Ta 2.70, 1 As 3.02
As (0.8516, 0.3516, 0.5000)  6 Ta 2.70, 1 As 3.02

=====

DFT (PBE-GGA) results for CeSm2Y5 after structural relaxation.

Calculated total energy   -5.917 eV per atom

Lattice parameters (Å, degrees): 7.1711 14.3507 5.0666 90.00 90.00 90.00
Closest atoms and distances in Å follow each position.
Element x y z (fractional)
Ce (0.0000, 0.0000, 0.0000)  8 Y 3.55-3.59, 4 Sm 3.56
Ce (0.5000, 0.5000, 0.0000)  8 Y 3.55-3.59, 4 Sm 3.56
Sm (0.2470, 0.1233, 0.5000)  10 Y 3.52-3.65, 2 Ce 3.56
Sm (0.2530, 0.6233, 0.5000)  10 Y 3.52-3.65, 2 Ce 3.56
Sm (0.7470, 0.3767, 0.5000)  10 Y 3.52-3.65, 2 Ce 3.56
Sm (0.7530, 0.8767, 0.5000)  10 Y 3.52-3.65, 2 Ce 3.56
Y (0.0000, 0.5000, 0.0000)  4 Sm 3.58, 2 Ce 3.59, 6 Y 3.60
Y (0.0026, 0.2492, 0.0000)  4 Sm 3.57-3.62, 1 Ce 3.58, 7 Y 3.58-3.61
Y (0.2440, 0.8764, 0.5000)  4 Sm 3.52-3.65, 2 Ce 3.55, 6 Y 3.58-3.61
Y (0.2560, 0.3764, 0.5000)  4 Sm 3.52-3.65, 2 Ce 3.55, 6 Y 3.58-3.61
Y (0.4974, 0.7492, 0.0000)  4 Sm 3.57-3.62, 1 Ce 3.58, 7 Y 3.58-3.61
Y (0.5000, 0.0000, 0.0000)  4 Sm 3.58, 2 Ce 3.59, 6 Y 3.60
Y (0.5026, 0.2508, 0.0000)  4 Sm 3.57-3.62, 1 Ce 3.58, 7 Y 3.58-3.61
Y (0.7440, 0.6236, 0.5000)  4 Sm 3.52-3.65, 2 Ce 3.55, 6 Y 3.58-3.61
Y (0.7560, 0.1236, 0.5000)  4 Sm 3.52-3.65, 2 Ce 3.55, 6 Y 3.58-3.61
Y (0.9974, 0.7508, 0.0000)  4 Sm 3.57-3.62, 1 Ce 3.58, 7 Y 3.58-3.61

=====

DFT (PBE-GGA) results for SrYAlAg after structural relaxation.

Calculated total energy   -3.883 eV per atom

Lattice parameters (Å, degrees): 7.5594 7.5594 7.5594 90.00 90.00 90.00
Closest atoms and distances in Å follow each position.
Element x y z (fractional)
Sr (0.0000, 0.0000, 0.0000)  4 Al 3.27, 4 Ag 3.27
Sr (0.0000, 0.5000, 0.5000)  4 Al 3.27, 4 Ag 3.27
Sr (0.5000, 0.0000, 0.5000)  4 Al 3.27, 4 Ag 3.27
Sr (0.5000, 0.5000, 0.0000)  4 Al 3.27, 4 Ag 3.27
Y (0.0000, 0.0000, 0.5000)  4 Al 3.27, 4 Ag 3.27
Y (0.0000, 0.5000, 0.0000)  4 Al 3.27, 4 Ag 3.27
Y (0.5000, 0.0000, 0.0000)  4 Al 3.27, 4 Ag 3.27
Y (0.5000, 0.5000, 0.5000)  4 Ag 3.27, 4 Al 3.27
Al (0.2500, 0.2500, 0.7500)  4 Sr 3.27, 4 Y 3.27
Al (0.2500, 0.7500, 0.2500)  4 Sr 3.27, 4 Y 3.27
Al (0.7500, 0.2500, 0.2500)  4 Sr 3.27, 4 Y 3.27
Al (0.7500, 0.7500, 0.7500)  4 Sr 3.27, 4 Y 3.27
Ag (0.2500, 0.2500, 0.2500)  4 Sr 3.27, 4 Y 3.27
Ag (0.2500, 0.7500, 0.7500)  4 Sr 3.27, 4 Y 3.27
Ag (0.7500, 0.2500, 0.7500)  4 Sr 3.27, 4 Y 3.27
Ag (0.7500, 0.7500, 0.2500)  4 Sr 3.27, 4 Y 3.27

=====

DFT (PBE-GGA) results for Rb2ScMnBr6 after structural relaxation.

Formation energy from raw total energies   -1.378 eV per atom

Lattice parameters (Å, degrees): 7.6497 7.6497 7.6497 60.00 60.00 60.00
Closest atoms and distances in Å follow each position.
Element x y z (fractional)
Rb (0.2500, 0.2500, 0.2500)  12 Br 3.82
Rb (0.7500, 0.7500, 0.7500)  12 Br 3.82
Sc (0.0000, 0.0000, 0.0000)  6 Br 2.71
Mn (0.5000, 0.5000, 0.5000)  6 Br 2.70
Br (0.2506, 0.2506, 0.7494)  1 Mn 2.70, 1 Sc 2.71
Br (0.2506, 0.7494, 0.2506)  1 Mn 2.70, 1 Sc 2.71
Br (0.2506, 0.7494, 0.7494)  1 Mn 2.70, 1 Sc 2.71
Br (0.7494, 0.2506, 0.2506)  1 Mn 2.70, 1 Sc 2.71
Br (0.7494, 0.2506, 0.7494)  1 Mn 2.70, 1 Sc 2.71
Br (0.7494, 0.7494, 0.2506)  1 Mn 2.70, 1 Sc 2.71

=====

DFT (PBE-GGA) results for YMgAgCl6 after structural relaxation.

Formation energy from raw total energies   -1.711 eV per atom

Lattice parameters (Å, degrees): 6.6419 6.6419 12.1995 90.00 90.00 120.00
Closest atoms and distances in Å follow each position.
Element x y z (fractional)
Y (0.3333, 0.6667, 0.2500)  6 Cl 2.66
Y (0.6667, 0.3333, 0.7500)  6 Cl 2.66
Mg (0.3333, 0.6667, 0.7500)  6 Cl 2.53
Mg (0.6667, 0.3333, 0.2500)  6 Cl 2.53
Ag (0.0000, 0.0000, 0.0000)  6 Cl 2.84
Ag (0.0000, 0.0000, 0.5000)  6 Cl 2.84
Cl (0.0146, 0.3598, 0.6314)  1 Mg 2.53, 1 Y 2.66
Cl (0.0146, 0.6548, 0.8686)  1 Mg 2.53, 1 Y 2.66
Cl (0.3452, 0.3598, 0.8686)  1 Mg 2.53, 1 Y 2.66
Cl (0.3452, 0.9854, 0.6314)  1 Mg 2.53, 1 Y 2.66
Cl (0.3598, 0.0146, 0.1314)  1 Mg 2.53, 1 Y 2.66
Cl (0.3598, 0.3452, 0.3686)  1 Mg 2.53, 1 Y 2.66
Cl (0.6402, 0.6548, 0.6314)  1 Mg 2.53, 1 Y 2.66
Cl (0.6402, 0.9854, 0.8686)  1 Mg 2.53, 1 Y 2.66
Cl (0.6548, 0.0146, 0.3686)  1 Mg 2.53, 1 Y 2.66
Cl (0.6548, 0.6402, 0.1314)  1 Mg 2.53, 1 Y 2.66
Cl (0.9854, 0.3452, 0.1314)  1 Mg 2.53, 1 Y 2.66
Cl (0.9854, 0.6402, 0.3686)  1 Mg 2.53, 1 Y 2.66